# KYCrN3 (PBE, relaxed)
data_KYCrN3
_chemical_formula_sum 'K4 Y4 Cr4 N12'
_cell_length_a 13.155
_cell_length_b 3.729
_cell_length_c 7.764
_cell_angle_alpha 90.00
_cell_angle_beta 104.91
_cell_angle_gamma 90.00
_space_group_name_H-M_alt 'C 1 2/m 1'
_space_group_IT_number 12
_space_group_name_Hall '-C 2y'
loop_
_atom_site_label
_atom_site_type_symbol
_atom_site_fract_x
_atom_site_fract_y
_atom_site_fract_z
K1 K 0.138 0.000 0.068
Y1 Y 0.161 0.000 0.582
Cr1 Cr 0.004 0.500 0.334
N1 N 0.011 0.000 0.330
N2 N 0.131 0.500 0.777
N3 N 0.156 0.500 0.368
# E	-0.5541	Ry/atom
# uncorrected formation energy	-0.51	eV per atom
# V	15.3	Å³ per atom
# crystal system	monoclinic
# total magnetization	0.0	μB/f.u.